Entry 1:
A plane-wave DFT calculation with PBE was carried out for an optimized crystal structure of La2YTe.

Electronic total energy (eV/atom): -5.386
Raw formation energy (kcal/mol of atoms): -12.0
Density of states at the Fermi level (states/eV/atom): 1.043

```
La2YTe
1.0
-1.0776 0.6810 -6.5222
1.0967 -2.4594 -6.0755
-4.3473 -3.1551 -1.0213
Te Y La
1 1 2
direct
0.2500 0.2500 0.2500
0.7500 0.7500 0.7500
0.9695 0.9695 0.0355
0.5305 0.5305 0.4645
```

=====

Entry 2:
A plane-wave DFT calculation with PBE was carried out for an optimized crystal structure of K3Na4Sn.

ΔE_f (kJ/mol of atoms): -2.15
Electronic total energy (eV/atom): -1.594
Density of states at the Fermi level (states/eV/atom): 0.406

```
K3Na4Sn
1.0
7.9221 -0.4278 0.6023
-4.2737 6.6841 -0.6023
-2.8566 -2.5261 6.9831
K Na Sn
3 4 1
direct
0.5240 0.3149 0.8389
0.7936 0.0000 0.7936
0.5240 0.6851 0.2090
0.1528 0.1994 0.3522
0.1528 0.8006 0.9534
0.1356 0.7300 0.4056
0.6756 0.2700 0.4056
0.1926 0.5000 0.6926
```

=====

Entry 3:
A plane-wave DFT calculation with PBE was carried out for an optimized crystal structure of YAlAu.

ΔE_f (kJ/mol of atoms): -54.04
Electronic total energy (eV/atom): -5.055
Density of states at the Fermi level (states/eV/atom): 0.623

```
YAlAu
1.0
5.9663 -0.0218 0.0237
5.0104 3.2386 0.0269
0.9559 0.2758 3.2487
Al Y Au
1 1 1
direct
0.9760 0.9760 0.0240
0.6686 0.6686 0.3314
0.3554 0.3554 0.6446
```

=====

Entry 4:
A plane-wave DFT calculation with PBE was carried out for an optimized crystal structure of Ta2MnZn.

ΔE_f (kJ/mol of atoms): 0.24
Electronic total energy (eV/atom): -8.535
Density of states at the Fermi level (states/eV/atom): 0.814

```
Ta2MnZn
1.0
-2.6564 1.4254 0.1508
-0.4499 -0.5276 -2.9381
-3.0448 -5.8344 1.5139
Ta Zn Mn
2 1 1
direct
0.0000 0.0000 0.5220
0.0000 0.0000 0.9780
0.5000 0.5000 0.2500
0.5000 0.5000 0.7500
```

=====

Entry 5:
A plane-wave DFT calculation with PBE was carried out for an optimized crystal structure of RbNa2InF6.

Electronic total energy (eV/atom): -4.454
Raw formation energy (kcal/mol of atoms): -62.2
Density of states at the Fermi level (states/eV/atom): 0.000

```
RbNa2InF6
1.0
-0.5349 5.9352 -0.7348
-4.1842 2.2015 -3.7001
-5.1043 2.9032 2.6274
F In Na Rb
6 1 2 1
direct
0.7036 0.1825 0.7730
0.2609 0.9506 0.2224
0.3409 0.7036 0.7729
0.1825 0.3409 0.7730
0.5660 0.2609 0.2225
0.9507 0.5660 0.2226
0.3223 0.3223 0.0332
0.5251 0.5252 0.4246
0.0111 0.0111 0.9665
0.7985 0.7985 0.6046
```

=====

Entry 6:
A plane-wave DFT calculation with PBE was carried out for an optimized crystal structure of Li15Ac2Cd2.

ΔE_f (kJ/mol of atoms): -1.73
Electronic total energy (eV/atom): -2.058
Density of states at the Fermi level (states/eV/atom): 0.682

```
Li15Ac2Cd2
1.0
-3.8834 0.0666 6.5033
2.8176 -6.5171 2.6396
5.4970 3.1651 4.1405
Li Ac Cd
15 2 2
direct
0.2764 0.0000 0.7236
0.3461 0.8722 0.3461
0.3461 0.3461 0.8722
0.5000 0.0000 0.0000
0.6539 0.1278 0.6539
0.0000 0.5000 0.0000
0.6539 0.6539 0.1278
0.7236 0.0000 0.2764
0.2764 0.7236 0.0000
0.0000 0.7236 0.2764
0.0000 0.2764 0.7236
0.0000 0.0000 0.5000
0.8722 0.3461 0.3461
0.1278 0.6539 0.6539
0.7236 0.2764 0.0000
0.3546 0.3546 0.3546
0.6454 0.6454 0.6454
0.1062 0.1062 0.1062
0.8938 0.8938 0.8938
```

=====

Entry 7:
A plane-wave DFT calculation with PBE was carried out for an optimized crystal structure of InCu2Br.

Electronic total energy (eV/atom): -3.127
Raw formation energy (kcal/mol of atoms): 0.6
Polymorph energy (0 for the lowest one) (eV/atom): 0.023
Density of states at the Fermi level (states/eV/atom): 0.338

```
InCu2Br
1.0
-2.9083 -3.4491 4.8228
-0.7992 -5.7848 3.0839
2.8672 0.3813 2.9655
In Cu Br
1 2 1
direct
0.5169 0.5169 0.5484
0.6618 0.6618 0.9614
0.0279 0.0279 0.0481
0.2933 0.2933 0.9422
```

=====

Entry 8:
A plane-wave DFT calculation with PBE was carried out for an optimized crystal structure of Ca2LaPt.

ΔE_f (kJ/mol of atoms): -34.89
Electronic total energy (eV/atom): -4.105
Polymorph energy (0 for the lowest one) (eV/atom): 0.246
Density of states at the Fermi level (states/eV/atom): 1.172

```
Ca2LaPt
1.0
-5.6828 5.2430 7.0306
-8.4226 4.3222 4.4261
-7.4016 1.7551 7.1658
Pt Ca La
1 2 1
direct
0.7500 0.7500 0.7500
0.4733 0.4733 0.4733
0.0267 0.0267 0.0267
0.2500 0.2500 0.2500
```

=====

Entry 9:
A plane-wave DFT calculation with PBE was carried out for an optimized crystal structure of Mg2ZnIn2.

ΔE_f (kJ/mol of atoms): 3.66
Electronic total energy (eV/atom): -1.950
Polymorph energy (0 for the lowest one) (eV/atom): 0.075
Density of states at the Fermi level (states/eV/atom): 0.408

```
Mg2ZnIn2
1.0
-6.1823 -0.4216 3.7339
-0.9819 -6.7580 -2.3889
2.2424 -1.5754 3.5350
Mg In Zn
4 4 2
direct
0.8388 0.3388 0.5000
0.6612 0.8388 0.5000
0.1612 0.6612 0.5000
0.3388 0.1612 0.5000
0.3540 0.8540 0.0000
0.8540 0.6460 0.0000
0.1460 0.3540 0.0000
0.6460 0.1460 0.0000
0.5000 0.5000 0.0000
0.0000 0.0000 0.0000
```

=====

Entry 10:
A plane-wave DFT calculation with PBE was carried out for an optimized crystal structure of KRbTl.

ΔE_f (kJ/mol of atoms): -4.35
Electronic total energy (eV/atom): -1.522
Polymorph energy (0 for the lowest one) (eV/atom): 0.010
Density of states at the Fermi level (states/eV/atom): 0.708

```
KRbTl
1.0
-3.3837 -4.0784 -0.7328
2.7691 -1.6062 -3.8469
8.7534 -5.2528 8.4943
Tl K Rb
2 2 2
direct
0.4645 0.9052 0.4281
0.5355 0.4052 0.5719
0.0718 0.9046 0.6438
0.9282 0.4046 0.3562
0.3147 0.9008 0.1298
0.6853 0.4008 0.8702
```

=====

Entry 11:
A plane-wave DFT calculation with PBE was carried out for an optimized crystal structure of Na2CoTc2.

ΔE_f (kJ/mol of atoms): 109.14
Electronic total energy (eV/atom): -4.964
Polymorph energy (0 for the lowest one) (eV/atom): 0.330
Density of states at the Fermi level (states/eV/atom): 1.068

```
Na2CoTc2
1.0
3.3869 0.0000 0.0000
0.0000 3.3869 0.0000
1.6934 1.6934 7.5214
Na Tc Co
2 2 1
direct
0.7500 0.2500 0.5000
0.2500 0.7500 0.5000
0.5744 0.5744 0.8512
0.4256 0.4256 0.1488
0.0000 0.0000 0.0000
```

=====

Entry 12:
A plane-wave DFT calculation with PBE was carried out for an optimized crystal structure of PmY2Ga.

ΔE_f (kJ/mol of atoms): -28.67
Electronic total energy (eV/atom): -5.474
Polymorph energy (0 for the lowest one) (eV/atom): 0.000
Density of states at the Fermi level (states/eV/atom): 0.925

```
PmY2Ga
1.0
-3.1223 0.8099 1.4815
0.9658 -1.6979 2.9637
3.5074 7.6233 3.2245
Pm Y Ga
1 2 1
direct
0.5000 0.5000 0.5000
0.0000 0.0000 0.7948
0.0000 0.0000 0.2052
0.5000 0.5000 0.0000
```